Material: NdSm12Tl7
Method: DFT, GGA-PBE
State: relaxed

Cell: 8.9948 8.9948 8.9948 Å, 101.82 101.82 101.82°
Last column: nearest neighbours and their distance in Å.
Sites, in units of the cell vectors:
Nd: 0.0000 0.0000 0.0000  6 Tl 3.14
Sm: 0.1218 0.4482 0.3781  3 Tl 3.09-3.39
Sm: 0.1821 0.3113 0.7151  3 Tl 3.12-3.35, 1 Sm 3.48
Sm: 0.2849 0.8179 0.6887  3 Tl 3.12-3.35, 1 Sm 3.48
Sm: 0.3113 0.7151 0.1821  3 Tl 3.12-3.35, 1 Sm 3.48
Sm: 0.3781 0.1218 0.4482  3 Tl 3.09-3.39
Sm: 0.4482 0.3781 0.1218  3 Tl 3.09-3.39
Sm: 0.5518 0.6219 0.8782  3 Tl 3.09-3.39
Sm: 0.6219 0.8782 0.5518  3 Tl 3.09-3.39
Sm: 0.6887 0.2849 0.8179  3 Tl 3.12-3.35, 1 Sm 3.48
Sm: 0.7151 0.1821 0.3113  3 Tl 3.12-3.35, 1 Sm 3.48
Sm: 0.8179 0.6887 0.2849  3 Tl 3.12-3.35, 1 Sm 3.48
Sm: 0.8782 0.5518 0.6219  3 Tl 3.09-3.39
Tl: 0.0166 0.0592 0.3604  1 Tl 2.97, 3 Sm 3.09-3.30, 1 Nd 3.14
Tl: 0.0592 0.3604 0.0166  1 Tl 2.97, 3 Sm 3.09-3.30, 1 Nd 3.14
Tl: 0.3604 0.0166 0.0592  1 Tl 2.97, 3 Sm 3.09-3.30, 1 Nd 3.14
Tl: 0.5000 0.5000 0.5000  6 Sm 3.26
Tl: 0.6396 0.9834 0.9408  1 Tl 2.97, 3 Sm 3.09-3.30, 1 Nd 3.14
Tl: 0.9408 0.6396 0.9834  1 Tl 2.97, 3 Sm 3.09-3.30, 1 Nd 3.14
Tl: 0.9834 0.9408 0.6396  1 Tl 2.97, 3 Sm 3.09-3.30, 1 Nd 3.14

Summary:
As for the magnetic moment: 0.000 μB per cell. The calculation puts the total energy at -3.92 eV per atom.